(w)
TbEr4Tm3: relaxed, GGA-PBE.

Output
crystal system	orthorhombic
V	242.1	Å³ per cell

a = 3.502 Å, b = 6.988 Å, c = 9.893 Å
α = 90.00°, β = 90.00°, γ = 90.00°
Fractional positions:
Tb: 0.000 0.000 0.000
Er: 0.500 0.251 0.251
Er: 0.500 0.251 0.749
Er: 0.500 0.749 0.251
Er: 0.500 0.749 0.749
Tm: 0.000 0.000 0.500
Tm: 0.000 0.500 0.000
Tm: 0.000 0.500 0.500


(x)
TbEr4Tm3: relaxed, GGA-PBE.

Output
crystal system	orthorhombic
V	490.8	Å³ per cell

a = 11.068 Å, b = 7.164 Å, c = 6.191 Å
α = 90.00°, β = 90.00°, γ = 90.00°
Fractional positions:
Tb: 0.000 0.125 0.000
Tb: 0.500 0.875 0.500
Er: 0.000 0.375 0.500
Er: 0.000 0.625 0.999
Er: 0.249 0.625 0.333
Er: 0.251 0.375 0.833
Er: 0.500 0.375 0.499
Er: 0.500 0.625 0.000
Er: 0.749 0.375 0.833
Er: 0.751 0.625 0.333
Tm: 0.000 0.875 0.500
Tm: 0.250 0.125 0.333
Tm: 0.250 0.875 0.833
Tm: 0.500 0.125 0.000
Tm: 0.750 0.125 0.333
Tm: 0.750 0.875 0.833


Most stable: (x) (next structure +27 meV per atom)


(w)
Tb4Er3Tm4: relaxed, GGA-PBE.

Output
crystal system	triclinic
V	336.7	Å³ per cell

a = 3.510 Å, b = 4.964 Å, c = 19.562 Å
α = 82.71°, β = 84.87°, γ = 89.98°
Fractional positions:
Tb: 0.046 0.046 0.409
Tb: 0.318 0.318 0.864
Tb: 0.682 0.682 0.136
Tb: 0.954 0.954 0.591
Er: 0.137 0.136 0.227
Er: 0.500 0.500 0.500
Er: 0.863 0.864 0.773
Tm: 0.227 0.227 0.045
Tm: 0.409 0.409 0.683
Tm: 0.591 0.591 0.317
Tm: 0.773 0.773 0.955


(x)
Tb4Er3Tm4: relaxed, GGA-PBE.

Output
crystal system	monoclinic
V	337.5	Å³ per cell

a = 17.875 Å, b = 17.875 Å, c = 5.521 Å
α = 98.88°, β = 98.88°, γ = 11.17°
Fractional positions:
Tb: 0.046 0.046 0.045
Tb: 0.180 0.180 0.680
Tb: 0.820 0.820 0.320
Tb: 0.954 0.954 0.955
Er: 0.363 0.363 0.863
Er: 0.500 0.500 0.500
Er: 0.637 0.637 0.137
Tm: 0.090 0.090 0.590
Tm: 0.234 0.234 0.233
Tm: 0.766 0.766 0.767
Tm: 0.910 0.910 0.410


Most stable: (w) (next structure +39 meV per atom)


(w)
Tb7Er2Tm3: relaxed, GGA-PBE.

Output
crystal system	triclinic
V	400.2	Å³ per cell

a = 5.434 Å, b = 6.171 Å, c = 11.936 Å
α = 89.20°, β = 89.98°, γ = 89.89°
Fractional positions:
Tb: 0.000 0.000 0.000
Tb: 0.000 0.438 0.818
Tb: 0.000 0.562 0.182
Tb: 0.499 0.239 0.545
Tb: 0.500 0.089 0.830
Tb: 0.500 0.911 0.170
Tb: 0.501 0.761 0.455
Er: 0.500 0.390 0.277
Er: 0.500 0.610 0.723
Tm: 0.000 0.059 0.342
Tm: 0.000 0.941 0.658
Tm: 0.500 0.500 0.000


(x)
Tb7Er2Tm3: relaxed, GGA-PBE.

Output
crystal system	monoclinic
V	376.1	Å³ per cell

a = 5.727 Å, b = 3.551 Å, c = 18.534 Å
α = 90.00°, β = 93.75°, γ = 90.00°
Fractional positions:
Tb: 0.000 0.000 0.000
Tb: 0.180 0.500 0.181
Tb: 0.258 0.500 0.536
Tb: 0.323 0.000 0.856
Tb: 0.677 0.000 0.144
Tb: 0.742 0.500 0.464
Tb: 0.820 0.500 0.819
Er: 0.295 0.500 0.704
Er: 0.705 0.500 0.296
Tm: 0.218 0.000 0.368
Tm: 0.500 0.500 0.000
Tm: 0.782 0.000 0.632


Most stable: (x) (next structure +220 meV per atom)


(w)
Tb12Er2Tm5: relaxed, GGA-PBE.

Output
crystal system	monoclinic
V	604.9	Å³ per cell

a = 9.056 Å, b = 9.056 Å, c = 8.481 Å
α = 90.89°, β = 90.89°, γ = 60.44°
Fractional positions:
Tb: 0.059 0.059 0.337
Tb: 0.068 0.679 0.335
Tb: 0.163 0.528 0.759
Tb: 0.321 0.932 0.665
Tb: 0.409 0.409 0.115
Tb: 0.472 0.837 0.241
Tb: 0.528 0.163 0.759
Tb: 0.591 0.591 0.885
Tb: 0.679 0.068 0.335
Tb: 0.837 0.472 0.241
Tb: 0.932 0.321 0.665
Tb: 0.941 0.941 0.663
Er: 0.176 0.824 0.000
Er: 0.824 0.176 0.000
Tm: 0.198 0.198 0.014
Tm: 0.268 0.268 0.428
Tm: 0.500 0.500 0.500
Tm: 0.732 0.732 0.572
Tm: 0.802 0.802 0.986


(x)
Tb12Er2Tm5: relaxed, GGA-PBE.

Output
crystal system	triclinic
V	598.6	Å³ per cell

a = 6.114 Å, b = 9.877 Å, c = 10.800 Å
α = 67.25°, β = 84.62°, γ = 88.82°
Fractional positions:
Tb: 0.046 0.151 0.352
Tb: 0.094 0.826 0.994
Tb: 0.116 0.164 0.673
Tb: 0.380 0.677 0.463
Tb: 0.411 0.689 0.755
Tb: 0.433 0.316 0.840
Tb: 0.567 0.684 0.160
Tb: 0.589 0.311 0.245
Tb: 0.620 0.323 0.537
Tb: 0.884 0.836 0.327
Tb: 0.906 0.174 0.006
Tb: 0.954 0.849 0.648
Er: 0.228 0.447 0.055
Er: 0.772 0.553 0.945
Tm: 0.066 0.498 0.333
Tm: 0.399 0.018 0.162
Tm: 0.500 0.000 0.500
Tm: 0.601 0.982 0.838
Tm: 0.934 0.502 0.667


Most stable: (x) (next structure +6 meV per atom)